# CdCoO2F

A relaxed structure of CdCoO2F (PBE with a Hubbard U, the Alexandria database).

Output
total energy = -4.560 eV per atom
total magnetization = 2.62 μB/cell

a = 3.7977 Å, b = 3.7977 Å, c = 3.9770 Å
α = 90.00°, β = 90.00°, γ = 90.00°
With the nearest neighbours (Å) after each atom.
Sites, in units of the cell vectors:
Cd: 0.5000 0.5000 0.5000  4 F 2.69, 8 O 2.75
Co: 0.0000 0.0000 0.0000  4 O 1.90, 2 F 1.99
F: 0.0000 0.0000 0.5000  2 Co 1.99
O: 0.0000 0.5000 0.0000  2 Co 1.90
O: 0.5000 0.0000 0.0000  2 Co 1.90